# 1
The following is a GGA-PBE calculation of an optimized crystal structure of RbHfBeBi2, from Alexandria via LeMat-Bulk.

The space group is P4/mmm (No. 123) and the conventional cell measures 6.015, 6.015 and 5.485 Å, with angles of 90.00, 90.00 and 90.00 degrees. The distinct sites, in fractional coordinates, are Rb at (0.000, 0.000, 0.000), Hf at (0.000, 0.000, 0.500), Be at (0.500, 0.500, 0.500) and Bi at (0.000, 0.500, 0.000).

***

# 2
The following is a GGA-PBE calculation of an optimized crystal structure of HfBeReBi2, from Alexandria via LeMat-Bulk.

The space group is P4/mmm (No. 123) and the conventional cell measures 5.273, 5.273 and 5.076 Å, with angles of 90.00, 90.00 and 90.00 degrees. The distinct sites, in fractional coordinates, are Hf at (0.000, 0.000, 0.000), Be at (0.500, 0.500, 0.000), Re at (0.000, 0.000, 0.500) and Bi at (0.000, 0.500, 0.500).

***

# 3
The following is a GGA-PBE calculation of an optimized crystal structure of Y2HfBeBi, from Alexandria via LeMat-Bulk.

The space group is P4/mmm (No. 123) and the conventional cell measures 5.689, 5.689 and 5.391 Å, with angles of 90.00, 90.00 and 90.00 degrees. The distinct sites, in fractional coordinates, are Y at (0.000, 0.500, 0.000), Hf at (0.000, 0.000, 0.500), Be at (0.500, 0.500, 0.500) and Bi at (0.000, 0.000, 0.000).

***

Energy of formation, respectively: 225; 117; 103 kJ/mol of atoms.